Entry 1:
The following is a DFT calculation (PBE) of a relaxed Th2ReGe6Os crystal.

The calculation puts the formation energy at -0.2 eV/f.u.

It has space group R-3m (No. 166, hexagonal axes), with a = 7.4317 Å, b = 7.4317 Å, c = 28.1565 Å, α = 90.00°, β = 90.00° and γ = 120.00°. Symmetry generates all atoms from Th at (0.0000, 0.0000, 0.1387), Th at (0.0000, 0.0000, 0.2918), Re at (0.0000, 0.0000, 0.0000), Re at (0.0000, 0.0000, 0.5000), Ge at (0.0088, 0.5044, 0.1170), Ge at (0.0366, 0.5183, 0.7212) and Os at (0.0000, 0.0000, 0.3908).

Entry 2:
The following is a DFT calculation (PBE) of a relaxed TlReGe2Os crystal.

The calculation puts the formation energy at 4.8 eV/f.u.

It has space group P4/mmm (No. 123), with a = 4.816 Å, b = 4.816 Å, c = 4.930 Å, α = 90.00°, β = 90.00° and γ = 90.00°. Symmetry generates all atoms from Tl at (0.000, 0.000, 0.000), Re at (0.500, 0.500, 0.500), Ge at (0.000, 0.500, 0.500) and Os at (0.500, 0.500, 0.000).

Entry 3:
The following is a DFT calculation (PBE) of a relaxed VReGeOs crystal.

The calculation puts the formation energy at -0.2 eV/f.u.

It has space group F-43m (No. 216), with a = 6.083 Å, b = 6.083 Å, c = 6.083 Å, α = 90.00°, β = 90.00° and γ = 90.00°. Symmetry generates all atoms from V at (0.000, 0.000, 0.000), Re at (0.250, 0.250, 0.750), Ge at (0.000, 0.000, 0.500) and Os at (0.250, 0.250, 0.250).

Entry 4:
The following is a DFT calculation (PBE) of a relaxed VReGeOs2 crystal.

The calculation puts the formation energy at 8.8 eV/f.u.

It has space group P4/mmm (No. 123), with a = 4.450 Å, b = 4.450 Å, c = 4.457 Å, α = 90.00°, β = 90.00° and γ = 90.00°. Symmetry generates all atoms from V at (0.000, 0.000, 0.000), Re at (0.500, 0.500, 0.500), Ge at (0.000, 0.000, 0.500) and Os at (0.000, 0.500, 0.000).

Entry 5:
The following is a DFT calculation (PBE) of a relaxed Ge4OsRh crystal.

The calculation puts the formation energy at -0.5 eV/f.u.

It has space group Cmmm (No. 65), with a = 8.551 Å, b = 8.598 Å, c = 3.265 Å, α = 90.00°, β = 90.00° and γ = 90.00°. Symmetry generates all atoms from Ge at (0.000, 0.217, 0.000), Ge at (0.214, 0.500, 0.500), Os at (0.000, 0.000, 0.500) and Rh at (0.000, 0.500, 0.000).

Entry 6:
The following is a DFT calculation (PBE) of a relaxed GeOsRh3 crystal.

The calculation puts the energy above the most stable polymorph in this dataset at 0.43 eV/f.u. The calculation puts the formation energy at 6.4 eV/f.u.

It has space group Pm-3m (No. 221), with a = 4.714 Å, b = 4.714 Å, c = 4.714 Å, α = 90.00°, β = 90.00° and γ = 90.00°. Symmetry generates all atoms from Ge at (0.000, 0.000, 0.000), Os at (0.500, 0.500, 0.500) and Rh at (0.000, 0.500, 0.500).

Entry 7:
The following is a DFT calculation (PBE) of a relaxed GeOsRh3 crystal.

The calculation puts the energy above the most stable polymorph in this dataset at 0.00 eV/f.u. The calculation puts the formation energy at 5.9 eV/f.u.

It has space group Pm-3m (No. 221), with a = 4.481 Å, b = 4.481 Å, c = 4.481 Å, α = 90.00°, β = 90.00° and γ = 90.00°. Symmetry generates all atoms from Ge at (0.000, 0.000, 0.000), Os at (0.500, 0.500, 0.500) and Rh at (0.000, 0.000, 0.500).

Entry 8:
The following is a DFT calculation (PBE) of a relaxed SiGeOsRh crystal.

For the formation energy from raw total energies, the calculation gives -0.187 eV per atom.

It has space group F-43m (No. 216), with a = 6.053 Å, b = 6.053 Å, c = 6.053 Å, α = 90.00°, β = 90.00° and γ = 90.00°. Symmetry generates all atoms from Si at (0.000, 0.000, 0.000), Ge at (0.000, 0.000, 0.500), Os at (0.250, 0.250, 0.750) and Rh at (0.250, 0.250, 0.250).

Entry 9:
The following is a DFT calculation (PBE) of a relaxed ZnGeOsRh crystal.

The calculation puts the formation energy at -0.5 eV/f.u.

It has space group F-43m (No. 216), with a = 6.065 Å, b = 6.065 Å, c = 6.065 Å, α = 90.00°, β = 90.00° and γ = 90.00°. Symmetry generates all atoms from Zn at (0.000, 0.000, 0.000), Ge at (0.000, 0.000, 0.500), Os at (0.250, 0.250, 0.750) and Rh at (0.250, 0.250, 0.250).

Entry 10:
The following is a DFT calculation (PBE) of a relaxed GeOsRu crystal.

The calculation puts the energy above the most stable polymorph in this dataset at 0.25 eV/f.u. The calculation puts the formation energy at 0.4 eV/f.u.

It has space group P3m1 (No. 156), with a = 2.8256 Å, b = 2.8256 Å, c = 6.5135 Å, α = 90.00°, β = 90.00° and γ = 120.00°. Symmetry generates all atoms from Ge at (0.0000, 0.0000, 0.0000), Os at (0.0000, 0.0000, 0.6186) and Ru at (0.3333, 0.6667, 0.2983).

Entry 11:
The following is a DFT calculation (PBE) of a relaxed GeOsRu crystal.

The calculation puts the energy above the most stable polymorph in this dataset at 0.25 eV/f.u. The calculation puts the formation energy at 0.4 eV/f.u.

It has space group P1 (No. 1), with a = 4.149 Å, b = 4.888 Å, c = 5.237 Å, α = 63.87°, β = 67.02° and γ = 73.51°. Symmetry generates all atoms from Ge at (0.000, 0.000, 0.000), Ge at (0.427, 0.596, 0.746), Os at (0.092, 0.507, 0.486), Os at (0.782, 0.502, 0.102), Ru at (0.336, 0.082, 0.258) and Ru at (0.644, 0.088, 0.651).

Entry 12:
The following is a DFT calculation (PBE) of a relaxed GeOsRu crystal.

The calculation puts the energy above the most stable polymorph in this dataset at 0.32 eV/f.u. The calculation puts the formation energy at 0.4 eV/f.u.

It has space group I4mm (No. 107), with a = 2.941 Å, b = 2.941 Å, c = 9.817 Å, α = 90.00°, β = 90.00° and γ = 90.00°. Symmetry generates all atoms from Ge at (0.000, 0.000, 0.000), Os at (0.000, 0.000, 0.343) and Ru at (0.000, 0.000, 0.656).

Entry 13:
The following is a DFT calculation (PBE) of a relaxed GeOsRu3 crystal.

The calculation puts the formation energy at 8.0 eV/f.u.

It has space group Pm-3m (No. 221), with a = 4.427 Å, b = 4.427 Å, c = 4.427 Å, α = 90.00°, β = 90.00° and γ = 90.00°. Symmetry generates all atoms from Ge at (0.000, 0.000, 0.000), Os at (0.500, 0.500, 0.500) and Ru at (0.000, 0.000, 0.500).

Entry 14:
The following is a DFT calculation (PBE) of a relaxed GeOsRu crystal.

The calculation puts the energy above the most stable polymorph in this dataset at 0.31 eV/f.u. The calculation puts the formation energy at 0.4 eV/f.u.

It has space group Cm (No. 8), with a = 8.685 Å, b = 3.846 Å, c = 6.103 Å, α = 90.00°, β = 111.39° and γ = 90.00°. Symmetry generates all atoms from Ge at (0.000, 0.000, 0.000), Ge at (0.192, 0.500, 0.682), Os at (0.238, 0.500, 0.117), Os at (0.472, 0.000, 0.281), Ru at (0.216, 0.000, 0.401) and Ru at (0.458, 0.500, 0.572).

Entry 15:
The following is a DFT calculation (PBE) of a relaxed GeOsRu crystal.

The calculation puts the energy above the most stable polymorph in this dataset at 0.26 eV/f.u. The calculation puts the formation energy at 0.4 eV/f.u.

It has space group C2/m (No. 12), with a = 9.610 Å, b = 4.068 Å, c = 5.268 Å, α = 90.00°, β = 122.05° and γ = 90.00°. Symmetry generates all atoms from Ge at (0.168, 0.000, 0.127), Os at (0.046, 0.500, 0.786) and Ru at (0.158, 0.000, 0.587).

Entry 16:
The following is a DFT calculation (PBE) of a relaxed GeOsRu crystal.

The calculation puts the energy above the most stable polymorph in this dataset at 0.25 eV/f.u. The calculation puts the formation energy at 0.4 eV/f.u.

It has space group Cm (No. 8), with a = 9.545 Å, b = 4.061 Å, c = 5.301 Å, α = 90.00°, β = 122.05° and γ = 90.00°. Symmetry generates all atoms from Ge at (0.000, 0.000, 0.000), Ge at (0.167, 0.500, 0.744), Os at (0.177, 0.500, 0.286), Os at (0.290, 0.000, 0.093), Ru at (0.380, 0.000, 0.664) and Ru at (0.494, 0.500, 0.462).

Entry 17:
The following is a DFT calculation (PBE) of a relaxed GeOsRu2 crystal.

The calculation puts the formation energy at 0.1 eV/f.u.

It has space group P4/mmm (No. 123), with a = 2.846 Å, b = 2.846 Å, c = 6.935 Å, α = 90.00°, β = 90.00° and γ = 90.00°. Symmetry generates all atoms from Ge at (0.000, 0.000, 0.000), Os at (0.000, 0.000, 0.500) and Ru at (0.500, 0.500, 0.235).

Entry 18:
The following is a DFT calculation (PBE) of a relaxed Ge4OsRu2 crystal.

The calculation puts the formation energy at -0.9 eV/f.u.

It has space group C2/m (No. 12), with a = 13.056 Å, b = 3.076 Å, c = 6.493 Å, α = 90.00°, β = 113.65° and γ = 90.00°. Symmetry generates all atoms from Ge at (0.097, 0.000, 0.321), Ge at (0.152, 0.500, 0.862), Os at (0.000, 0.500, 0.000) and Ru at (0.246, 0.000, 0.689).

Entry 19:
The following is a DFT calculation (PBE) of a relaxed GeOsRu crystal.

The calculation puts the energy above the most stable polymorph in this dataset at 0.00 eV/f.u. The calculation puts the formation energy at 0.1 eV/f.u.

It has space group Pmm2 (No. 25), with a = 2.805 Å, b = 2.808 Å, c = 5.941 Å, α = 90.00°, β = 90.00° and γ = 90.00°. Symmetry generates all atoms from Ge at (0.000, 0.000, 0.000), Os at (0.000, 0.500, 0.361) and Ru at (0.500, 0.000, 0.642).

Entry 20:
The following is a DFT calculation (PBE) of a relaxed GeOsRu crystal.

The calculation puts the energy above the most stable polymorph in this dataset at 0.30 eV/f.u. The calculation puts the formation energy at 0.4 eV/f.u.

It has space group Cm (No. 8), with a = 8.388 Å, b = 3.969 Å, c = 5.415 Å, α = 90.00°, β = 102.59° and γ = 90.00°. Symmetry generates all atoms from Ge at (0.000, 0.000, 0.000), Ge at (0.207, 0.500, 0.403), Os at (0.333, 0.000, 0.676), Os at (0.407, 0.000, 0.202), Ru at (0.024, 0.000, 0.556) and Ru at (0.175, 0.500, 0.927).

Entry 21:
The following is a DFT calculation (PBE) of a relaxed GeOsRu2 crystal.

The calculation puts the formation energy at 1.1 eV/f.u.

It has space group R3m (No. 160, hexagonal axes), with a = 4.0909 Å, b = 4.0909 Å, c = 12.9729 Å, α = 90.00°, β = 90.00° and γ = 120.00°. Symmetry generates all atoms from Ge at (0.0000, 0.0000, 0.0000), Os at (0.0000, 0.0000, 0.1932), Ru at (0.0000, 0.0000, 0.4090) and Ru at (0.0000, 0.0000, 0.6068).

Entry 22:
The following is a DFT calculation (PBE) of a relaxed GeOsRu crystal.

The calculation puts the energy above the most stable polymorph in this dataset at 0.36 eV/f.u. The calculation puts the formation energy at 0.5 eV/f.u.

It has space group Cc (No. 9), with a = 4.525 Å, b = 7.808 Å, c = 5.492 Å, α = 90.00°, β = 114.21° and γ = 90.00°. Symmetry generates all atoms from Ge at (0.000, 0.124, 0.000), Os at (0.062, 0.209, 0.582) and Ru at (0.473, 0.042, 0.414).

Entry 23:
The following is a DFT calculation (PBE) of a relaxed GeOs3Ru crystal.

The calculation puts the energy above the most stable polymorph in this dataset at 0.00 eV/f.u. The calculation puts the formation energy at 10.0 eV/f.u.

It has space group Pm-3m (No. 221), with a = 4.458 Å, b = 4.458 Å, c = 4.458 Å, α = 90.00°, β = 90.00° and γ = 90.00°. Symmetry generates all atoms from Ge at (0.000, 0.000, 0.000), Os at (0.000, 0.000, 0.500) and Ru at (0.500, 0.500, 0.500).

Entry 24:
The following is a DFT calculation (PBE) of a relaxed GeOs3Ru crystal.

The calculation puts the energy above the most stable polymorph in this dataset at 1.39 eV/f.u. The calculation puts the formation energy at 11.3 eV/f.u.

It has space group Pm-3m (No. 221), with a = 4.694 Å, b = 4.694 Å, c = 4.694 Å, α = 90.00°, β = 90.00° and γ = 90.00°. Symmetry generates all atoms from Ge at (0.000, 0.000, 0.000), Os at (0.000, 0.500, 0.500) and Ru at (0.500, 0.500, 0.500).

Entry 25:
The following is a DFT calculation (PBE) of a relaxed Sc2GeOsRu crystal.

The calculation puts the formation energy at 3.9 eV/f.u.

It has space group P4/mmm (No. 123), with a = 4.894 Å, b = 4.894 Å, c = 4.363 Å, α = 90.00°, β = 90.00° and γ = 90.00°. Symmetry generates all atoms from Sc at (0.000, 0.500, 0.000), Ge at (0.000, 0.000, 0.000), Os at (0.500, 0.500, 0.500) and Ru at (0.000, 0.000, 0.500).

Entry 26:
The following is a DFT calculation (PBE) of a relaxed SmGe2OsRu crystal.

The calculation puts the formation energy at -2.6 eV/f.u.

It has space group I-4m2 (No. 119), with a = 4.282 Å, b = 4.282 Å, c = 10.026 Å, α = 90.00°, β = 90.00° and γ = 90.00°. Symmetry generates all atoms from Sm at (0.000, 0.000, 0.000), Ge at (0.000, 0.000, 0.370), Os at (0.000, 0.500, 0.750) and Ru at (0.000, 0.500, 0.250).

Computed magnetization (μB per cell) in order:
0.00; 0.01; 0.00; 1.88; 0.00; 0.00; 4.75; 2.00; 0.00; 0.00; 0.00; 0.00; 3.15; 0.00; 0.00; 0.00; 0.00; 0.00; 0.00; 0.00; 0.00; 0.00; 1.56; 0.00; 0.37; 0.00